(1)
A geometry-optimized Nd2Dy6Er3Th structure. Source: the Alexandria database, functional GGA-PBE.

a = 6.1738 Å, b = 6.1738 Å, c = 11.7837 Å
α = 95.01°, β = 95.01°, γ = 119.94°
With the nearest neighbours (Å) after each atom.
Atoms (fractional coordinates):
Th (0.0000, 0.0000, 0.0000)  6 Dy 3.56-3.57, 6 Nd 3.56-3.57
Nd (0.3334, 0.6666, 0.0000)  3 Nd 3.56-3.57, 3 Th 3.56-3.57, 6 Dy 3.58-3.59
Er (0.8330, 0.1670, 0.5000)  6 Dy 3.53-3.55, 6 Er 3.56-3.57
Er (0.1670, 0.8330, 0.5000)  6 Dy 3.53-3.55, 6 Er 3.56-3.57
Nd (0.6666, 0.3334, 0.0000)  3 Nd 3.56-3.57, 3 Th 3.56-3.57, 6 Dy 3.58-3.59
Er (0.5000, 0.5000, 0.5000)  6 Dy 3.53-3.55, 6 Er 3.56-3.57
Dy (0.0851, 0.4147, 0.2523)  6 Dy 3.52-3.59, 3 Er 3.53-3.55, 1 Th 3.57, 2 Nd 3.58-3.59
Dy (0.4147, 0.0851, 0.2523)  6 Dy 3.52-3.59, 3 Er 3.53-3.55, 1 Th 3.57, 2 Nd 3.58-3.59
Dy (0.9149, 0.5853, 0.7477)  6 Dy 3.52-3.59, 3 Er 3.53-3.55, 1 Th 3.57, 2 Nd 3.58-3.59
Dy (0.5853, 0.9149, 0.7477)  6 Dy 3.52-3.59, 3 Er 3.53-3.55, 1 Th 3.57, 2 Nd 3.58-3.59
Dy (0.2442, 0.2442, 0.7476)  6 Dy 3.53-3.59, 3 Er 3.53-3.55, 1 Th 3.56, 2 Nd 3.59
Dy (0.7558, 0.7558, 0.2524)  6 Dy 3.53-3.59, 3 Er 3.53-3.55, 1 Th 3.56, 2 Nd 3.59

Output
The crystal system is monoclinic. As for the symmetry: C2/m (12). The formation energy is 0.032 eV per atom.

(2)
A geometry-optimized RbHN3 structure. Source: the Alexandria database, functional GGA-PBE.

a = 3.7700 Å, b = 3.7700 Å, c = 3.7700 Å
α = 90.00°, β = 90.00°, γ = 90.00°
With the nearest neighbours (Å) after each atom.
Atoms (fractional coordinates):
N (0.5000, 0.0000, 0.0000)  2 H 1.88
N (0.0000, 0.0000, 0.5000)  2 H 1.88
Rb (0.5000, 0.5000, 0.5000)  12 N 2.67
N (0.0000, 0.5000, 0.0000)  2 H 1.88
H (0.0000, 0.0000, 0.0000)  6 N 1.88

Output
The crystal system is cubic. As for the total energy: -0.111 Ha/atom. As for the symmetry: Pm-3m (221).

(3)
A geometry-optimized KCoPbBr5 structure. Source: the Alexandria database, functional GGA-PBE.

a = 7.9755 Å, b = 7.9755 Å, c = 10.6594 Å
α = 104.34°, β = 104.34°, γ = 105.50°
With the nearest neighbours (Å) after each atom.
Atoms (fractional coordinates):
Co (0.3171, 0.6829, 0.7500)  4 Br 2.41
Br (0.2620, 0.4030, 0.5687)  1 Co 2.41
K (0.3550, 0.6450, 0.2500)  5 Br 3.22-3.40
Br (0.8985, 0.1015, 0.7500)  2 Pb 2.96, 1 K 3.22
Co (0.6829, 0.3171, 0.2500)  4 Br 2.41
Br (0.9157, 0.3404, 0.1420)  1 Co 2.41
Br (0.7380, 0.5970, 0.4313)  1 Co 2.41
Pb (0.0000, 0.0000, 0.5000)  6 Br 2.96-3.12
Br (0.1015, 0.8985, 0.2500)  2 Pb 2.96, 1 K 3.22
Pb (0.0000, 0.0000, 0.0000)  6 Br 2.96-3.12
Br (0.6596, 0.0843, 0.3580)  1 Co 2.41
Br (0.0843, 0.6596, 0.8580)  1 Co 2.41
Br (0.5970, 0.7380, 0.9313)  1 Co 2.41
Br (0.3404, 0.9157, 0.6420)  1 Co 2.41
Br (0.4030, 0.2620, 0.0687)  1 Co 2.41
K (0.6450, 0.3550, 0.7500)  5 Br 3.22-3.40

Output
The crystal system is monoclinic. As for the symmetry: C2/c (15). The calculation puts the formation energy without anion corrections at -0.88 eV per atom.

The calculated volume results, record by record, are as follows: 383.25; 53.58; 596.19 Å³ per cell.